*i*
{
  "formula": "ZnAg2Pb",
  "functional": "GGA-PBE",
  "state": "optimized geometry",
  "magmom_total_mub_per_fu": 0.0,
  "cell": [[3.8646, 0.0000, 0.0000], [1.9323, 3.3469, 0.0000], [1.9323, 1.1156, 7.0146]],
  "species": ["Zn", "Ag", "Ag", "Pb"],
  "fractional_positions": [[0.6668, 0.6668, 0.9996], [0.0664, 0.0664, 0.8007], [0.2672, 0.2672, 0.1984], [0.4996, 0.4996, 0.5013]]
}


*ii*
{
  "formula": "ZnAg2Pb",
  "functional": "GGA-PBE",
  "state": "optimized geometry",
  "magmom_total_mub_per_fu": 0.0,
  "cell": [[0.0000, 3.4609, 3.4609], [3.4609, 0.0000, 3.4609], [3.4609, 3.4609, 0.0000]],
  "species": ["Ag", "Ag", "Pb", "Zn"],
  "fractional_positions": [[0.2500, 0.2500, 0.2500], [0.7500, 0.7500, 0.7500], [0.5000, 0.5000, 0.5000], [0.0000, 0.0000, 0.0000]]
}


*iii*
{
  "formula": "ZnAg2Pb",
  "functional": "GGA-PBE",
  "state": "optimized geometry",
  "magmom_total_mub_per_fu": 0.0,
  "cell": [[-0.0332, -2.9154, 3.4693], [-2.0134, -1.8968, -1.6132], [3.5735, -3.6233, -3.0107]],
  "species": ["Zn", "Pb", "Ag", "Ag"],
  "fractional_positions": [[0.5000, 0.7500, 0.7500], [0.5000, 0.2500, 0.2500], [0.0000, 0.5892, 0.5349], [0.0000, 0.9108, 0.9651]]
}


*iv*
{
  "formula": "ZnAg2Pb",
  "functional": "GGA-PBE",
  "state": "optimized geometry",
  "magmom_total_mub_per_fu": 0.0,
  "cell": [[3.4453, 0.0098, 0.0000], [-0.0098, 3.4453, 0.0000], [0.0000, 0.0000, 6.9666]],
  "species": ["Pb", "Ag", "Ag", "Zn"],
  "fractional_positions": [[0.0000, 0.0000, 0.5008], [0.5000, 0.5000, 0.2120], [0.0000, 0.0000, 0.9841], [0.5000, 0.5000, 0.8031]]
}


Which of them is most stable, and which least? Most stable: *iv*; least stable: *i*.


*i*
{
  "formula": "ZnAg2Pb",
  "functional": "GGA-PBE",
  "state": "optimized geometry",
  "magmom_total_mub_per_fu": 0.0,
  "cell": [[-1.0639, -0.5277, -3.1027], [2.2037, -2.4794, -0.3340], [-5.0060, -4.7903, 2.5313]],
  "species": ["Pb", "Ag", "Ag", "Zn"],
  "fractional_positions": [[0.5000, 0.5000, 0.2500], [0.0000, 0.0000, 0.9489], [0.0000, 0.0000, 0.5511], [0.5000, 0.5000, 0.7500]]
}


*ii*
{
  "formula": "ZnAg2Pb",
  "functional": "GGA-PBE",
  "state": "optimized geometry",
  "magmom_total_mub_per_fu": 0.0,
  "cell": [[4.5981, 0.0000, 0.0000], [0.0000, 3.2385, 0.1610], [0.0000, 1.8685, 5.7073]],
  "species": ["Zn", "Ag", "Ag", "Pb"],
  "fractional_positions": [[0.5000, 0.9303, 0.7670], [0.0000, 0.7830, 0.0196], [0.5000, 0.1760, 0.1813], [0.0000, 0.6106, 0.5321]]
}


Which of them is most stable, and which least? Most stable: *i*; least stable: *ii*.


*i*
{
  "formula": "ZnAg2Pb",
  "functional": "GGA-PBE",
  "state": "optimized geometry",
  "magmom_total_mub_per_fu": 0.0,
  "cell": [[5.3105, -0.0093, 0.0000], [1.7844, 5.0018, 0.0000], [-3.5475, -2.4962, 3.0637]],
  "species": ["Pb", "Ag", "Ag", "Zn"],
  "fractional_positions": [[0.5000, 0.5000, 0.0000], [0.0000, 0.0000, 0.0000], [0.2500, 0.7500, 0.5000], [0.7500, 0.2500, 0.5000]]
}


*ii*
{
  "formula": "ZnAg2Pb",
  "functional": "GGA-PBE",
  "state": "optimized geometry",
  "magmom_total_mub_per_fu": 0.0,
  "cell": [[5.1327, -0.0959, -0.0799], [4.0047, 3.2119, -0.0799], [1.3338, 0.4549, 4.8375]],
  "species": ["Ag", "Ag", "Pb", "Zn"],
  "fractional_positions": [[0.5147, 0.5147, 0.4684], [0.9853, 0.9853, 0.0316], [0.7500, 0.7500, 0.7500], [0.2500, 0.2500, 0.2500]]
}


Which of them is most stable, and which least? Most stable: *ii*; least stable: *i*.


*i*
{
  "formula": "ZnAg2Pb",
  "functional": "GGA-PBE",
  "state": "optimized geometry",
  "magmom_total_mub_per_fu": 0.0,
  "cell": [[-4.2785, 0.2148, -0.5344], [-0.5128, -3.2491, 2.7996], [-0.2652, 2.8638, 3.2750]],
  "species": ["Ag", "Ag", "Zn", "Pb"],
  "fractional_positions": [[0.5000, 0.5000, 0.0000], [0.0000, 0.0000, 0.0000], [0.0000, 0.5000, 0.5000], [0.5000, 0.0000, 0.5000]]
}


*ii*
{
  "formula": "ZnAg2Pb",
  "functional": "GGA-PBE",
  "state": "optimized geometry",
  "magmom_total_mub_per_fu": 0.0,
  "cell": [[5.7809, 0.0329, 0.0679], [2.5220, 5.2019, -0.0679], [-3.4631, -3.7092, 2.7701]],
  "species": ["Pb", "Ag", "Ag", "Zn"],
  "fractional_positions": [[0.7500, 0.2500, 0.5000], [0.4737, 0.4737, 0.0000], [0.0263, 0.0263, 0.0000], [0.2500, 0.7500, 0.5000]]
}


Which of them is most stable, and which least? Most stable: *ii*; least stable: *i*.


*i*
{
  "formula": "ZnAgPb3",
  "functional": "GGA-PBE",
  "state": "optimized geometry",
  "magmom_total_mub_per_fu": 0.0,
  "cell": [[5.5240, 0.0000, 0.0000], [0.0000, 5.5240, 0.0000], [0.0000, 0.0000, 5.5240]],
  "species": ["Ag", "Zn", "Pb", "Pb", "Pb"],
  "fractional_positions": [[0.0000, 0.0000, 0.0000], [0.5000, 0.5000, 0.5000], [0.0000, 0.0000, 0.5000], [0.0000, 0.5000, 0.0000], [0.5000, 0.0000, 0.0000]]
}


*ii*
{
  "formula": "ZnAgPb3",
  "functional": "GGA-PBE",
  "state": "optimized geometry",
  "magmom_total_mub_per_fu": 0.0,
  "cell": [[5.3789, 0.0000, 0.0000], [0.0000, 5.3789, 0.0000], [0.0000, 0.0000, 5.3789]],
  "species": ["Pb", "Pb", "Pb", "Zn", "Ag"],
  "fractional_positions": [[0.5000, 0.0000, 0.0000], [0.0000, 0.0000, 0.5000], [0.0000, 0.5000, 0.0000], [0.0000, 0.0000, 0.0000], [0.5000, 0.5000, 0.5000]]
}


Which of them is most stable, and which least? Most stable: *ii*; least stable: *i*.


*i*
{
  "formula": "ZrAgPb3",
  "functional": "GGA-PBE",
  "state": "optimized geometry",
  "magmom_total_mub_per_fu": 0.0,
  "cell": [[5.6778, 0.0000, 0.0000], [0.0000, 5.6778, 0.0000], [0.0000, 0.0000, 5.6778]],
  "species": ["Zr", "Ag", "Pb", "Pb", "Pb"],
  "fractional_positions": [[0.0000, 0.0000, 0.0000], [0.5000, 0.5000, 0.5000], [0.0000, 0.0000, 0.5000], [0.5000, 0.0000, 0.0000], [0.0000, 0.5000, 0.0000]]
}


*ii*
{
  "formula": "ZrAgPb3",
  "functional": "GGA-PBE",
  "state": "optimized geometry",
  "magmom_total_mub_per_fu": 0.0,
  "cell": [[5.4037, 0.0000, 0.0000], [0.0000, 5.4037, 0.0000], [0.0000, 0.0000, 5.4037]],
  "species": ["Ag", "Pb", "Pb", "Pb", "Zr"],
  "fractional_positions": [[0.0000, 0.0000, 0.0000], [0.0000, 0.0000, 0.5000], [0.5000, 0.0000, 0.0000], [0.0000, 0.5000, 0.0000], [0.5000, 0.5000, 0.5000]]
}


Which of them is most stable, and which least? Most stable: *i*; least stable: *ii*.


*i*
{
  "formula": "Ag2Pd",
  "functional": "GGA-PBE",
  "state": "optimized geometry",
  "magmom_total_mub_per_fu": 0.0,
  "cell": [[-5.1814, -0.7697, -1.0833], [-2.4288, -4.4891, 1.6003], [-3.6110, 0.1723, 3.9426]],
  "species": ["Ag", "Ag", "Ag", "Ag", "Pd", "Pd"],
  "fractional_positions": [[0.6250, 0.1250, 0.6250], [0.6250, 0.6250, 0.6250], [0.6250, 0.6250, 0.1250], [0.1250, 0.6250, 0.6250], [0.0000, 0.0000, 0.0000], [0.2500, 0.2500, 0.2500]]
}


*ii*
{
  "formula": "Ag2Pd",
  "functional": "GGA-PBE",
  "state": "optimized geometry",
  "magmom_total_mub_per_fu": 0.0,
  "cell": [[-2.6807, -0.2977, 1.1012], [-0.5028, -2.2159, -1.8232], [3.7022, -2.5927, 4.4576]],
  "species": ["Pd", "Ag", "Ag"],
  "fractional_positions": [[0.0000, 0.0000, 0.0000], [0.6636, 0.6636, 0.3272], [0.3364, 0.3364, 0.6728]]
}


*iii*
{
  "formula": "Ag2Pd",
  "functional": "GGA-PBE",
  "state": "optimized geometry",
  "magmom_total_mub_per_fu": 0.0,
  "cell": [[-2.1089, -0.7496, -1.8006], [-3.1198, -1.8894, 4.4404], [-0.6690, 6.4398, 0.3938]],
  "species": ["Pd", "Pd", "Ag", "Ag", "Ag", "Ag"],
  "fractional_positions": [[0.1690, 0.0823, 0.3380], [0.8310, 0.9177, 0.6620], [0.4984, 0.7544, 0.9969], [0.8324, 0.4129, 0.6648], [0.5016, 0.2456, 0.0031], [0.1676, 0.5871, 0.3352]]
}


*iv*
{
  "formula": "Ag2Pd",
  "functional": "GGA-PBE",
  "state": "optimized geometry",
  "magmom_total_mub_per_fu": 0.0,
  "cell": [[2.8229, 0.0000, 0.0000], [0.0000, 7.8404, 0.0000], [0.0000, 0.0000, 9.3263]],
  "species": ["Ag", "Ag", "Ag", "Ag", "Ag", "Ag", "Ag", "Ag", "Pd", "Pd", "Pd", "Pd"],
  "fractional_positions": [[0.2500, 0.9200, 0.3447], [0.2500, 0.2614, 0.8833], [0.7500, 0.7386, 0.1167], [0.2500, 0.7614, 0.6167], [0.7500, 0.5800, 0.8447], [0.7500, 0.2386, 0.3833], [0.2500, 0.4200, 0.1553], [0.7500, 0.0800, 0.6553], [0.2500, 0.9049, 0.8918], [0.7500, 0.5951, 0.3918], [0.2500, 0.4049, 0.6082], [0.7500, 0.0951, 0.1082]]
}


Which of them is most stable, and which least? Most stable: *iii*; least stable: *i*.


*i*
{
  "formula": "AgPd4",
  "functional": "GGA-PBE",
  "state": "optimized geometry",
  "magmom_total_mub_per_fu": 0.6,
  "cell": [[-1.7587, 0.5574, -2.1268], [-1.0617, -3.8386, -0.1281], [-3.7718, 2.9197, 5.7478]],
  "species": ["Pd", "Pd", "Pd", "Pd", "Ag"],
  "fractional_positions": [[0.7986, 0.7986, 0.5971], [0.3977, 0.3977, 0.7955], [0.2014, 0.2014, 0.4029], [0.6023, 0.6023, 0.2045], [0.0000, 0.0000, 0.0000]]
}


*ii*
{
  "formula": "AgPd4",
  "functional": "GGA-PBE",
  "state": "optimized geometry",
  "magmom_total_mub_per_fu": 0.8,
  "cell": [[4.6089, 0.0000, 1.8887], [2.3045, 4.7495, 0.9443], [-0.2749, 0.0000, 7.2386]],
  "species": ["Pd", "Pd", "Pd", "Pd", "Pd", "Pd", "Pd", "Pd", "Ag", "Ag"],
  "fractional_positions": [[0.1939, 0.9331, 0.1990], [0.3260, 0.0669, 0.8010], [0.1429, 0.4331, 0.3010], [0.3194, 0.5370, 0.9062], [0.7627, 0.4630, 0.0938], [0.6065, 0.9630, 0.4062], [0.9757, 0.0370, 0.5938], [0.8770, 0.5669, 0.6990], [0.7460, 0.0000, 0.0000], [0.4960, 0.5000, 0.5000]]
}


*iii*
{
  "formula": "AgPd4",
  "functional": "GGA-PBE",
  "state": "optimized geometry",
  "magmom_total_mub_per_fu": 0.0,
  "cell": [[-1.8447, -4.0755, -1.8909], [3.8966, -0.4338, -2.8663], [2.2363, -2.6058, 3.4346]],
  "species": ["Pd", "Pd", "Pd", "Pd", "Ag"],
  "fractional_positions": [[0.5000, 0.0000, 0.5000], [0.0000, 0.5000, 0.5000], [0.0000, 0.0000, 0.0000], [0.5000, 0.5000, 0.0000], [0.5000, 0.5000, 0.5000]]
}


Which of them is most stable, and which least? Most stable: *i*; least stable: *iii*.